[1]
# GGA-PBEsol H2PtSeBr, optimized geometry
# space-group type: No. 123
# final energy: -3.40 eV/atom
data_H2PtSeBr
_chemical_formula_sum 'H2 Pt1 Se1 Br1'
_symmetry_space_group_name_H-M 'P 1'
_symmetry_Int_Tables_number 1
_cell_length_a 3.527
_cell_length_b 3.527
_cell_length_c 7.102
_cell_angle_alpha 90.00
_cell_angle_beta 90.00
_cell_angle_gamma 90.00
loop_
_symmetry_equiv_pos_as_xyz
'x,y,z'
loop_
_atom_site_label
_atom_site_type_symbol
_atom_site_fract_x
_atom_site_fract_y
_atom_site_fract_z
H1 H 0.000 0.500 0.000
H2 H 0.500 0.000 0.000
Se1 Se 0.500 0.500 0.500
Br1 Br 0.000 0.000 0.000
Pt1 Pt 0.000 0.000 0.500

***

[2]
# GGA-PBEsol TaH2PtBr, optimized geometry
# space-group type: No. 123
# final energy: -5.13 eV/atom
data_TaH2PtBr
_chemical_formula_sum 'Ta1 H2 Pt1 Br1'
_symmetry_space_group_name_H-M 'P 1'
_symmetry_Int_Tables_number 1
_cell_length_a 3.745
_cell_length_b 3.745
_cell_length_c 5.121
_cell_angle_alpha 90.00
_cell_angle_beta 90.00
_cell_angle_gamma 90.00
loop_
_symmetry_equiv_pos_as_xyz
'x,y,z'
loop_
_atom_site_label
_atom_site_type_symbol
_atom_site_fract_x
_atom_site_fract_y
_atom_site_fract_z
H1 H 0.000 0.500 0.000
H2 H 0.500 0.000 0.000
Br1 Br 0.500 0.500 0.500
Pt1 Pt 0.000 0.000 0.500
Ta1 Ta 0.000 0.000 0.000

***

[3]
# GGA-PBEsol RbHBr2, optimized geometry
# space-group type: No. 166
# final energy: -3.02 eV/atom
data_RbHBr2
_chemical_formula_sum 'Rb1 H1 Br2'
_symmetry_space_group_name_H-M 'P 1'
_symmetry_Int_Tables_number 1
_cell_length_a 5.374
_cell_length_b 5.374
_cell_length_c 7.019
_cell_angle_alpha 67.49
_cell_angle_beta 67.49
_cell_angle_gamma 60.00
loop_
_symmetry_equiv_pos_as_xyz
'x,y,z'
loop_
_atom_site_label
_atom_site_type_symbol
_atom_site_fract_x
_atom_site_fract_y
_atom_site_fract_z
H1 H 0.000 0.000 0.000
Rb1 Rb 0.500 0.500 0.500
Br1 Br 0.910 0.910 0.270
Br2 Br 0.090 0.090 0.730

***

[4]
# GGA-PBEsol HSBr3, optimized geometry
# space-group type: No. 221
# final energy: -1.81 eV/atom
data_HSBr3
_chemical_formula_sum 'H1 S1 Br3'
_symmetry_space_group_name_H-M 'P 1'
_symmetry_Int_Tables_number 1
_cell_length_a 4.489
_cell_length_b 4.489
_cell_length_c 4.489
_cell_angle_alpha 90.00
_cell_angle_beta 90.00
_cell_angle_gamma 90.00
loop_
_symmetry_equiv_pos_as_xyz
'x,y,z'
loop_
_atom_site_label
_atom_site_type_symbol
_atom_site_fract_x
_atom_site_fract_y
_atom_site_fract_z
H1 H 0.000 0.000 0.000
S1 S 0.500 0.500 0.500
Br1 Br 0.000 0.500 0.000
Br2 Br 0.000 0.000 0.500
Br3 Br 0.500 0.000 0.000

***

[5]
# GGA-PBEsol ScHSeBr2, optimized geometry
# energy relative to the lowest polymorph listed for this composition: 0.000 kcal/mol of atoms
# space-group type: No. 123
# final energy: -3.89 eV/atom
data_ScHSeBr2
_chemical_formula_sum 'Sc1 H1 Se1 Br2'
_symmetry_space_group_name_H-M 'P 1'
_symmetry_Int_Tables_number 1
_cell_length_a 5.141
_cell_length_b 5.232
_cell_length_c 5.232
_cell_angle_alpha 90.00
_cell_angle_beta 90.00
_cell_angle_gamma 90.00
loop_
_symmetry_equiv_pos_as_xyz
'x,y,z'
loop_
_atom_site_label
_atom_site_type_symbol
_atom_site_fract_x
_atom_site_fract_y
_atom_site_fract_z
Sc1 Sc 0.000 0.000 0.000
H1 H 0.500 0.500 0.500
Se1 Se 0.500 0.000 0.000
Br1 Br 0.000 0.000 0.500
Br2 Br 0.000 0.500 0.000

***

[6]
# GGA-PBEsol ScHSeBr2, optimized geometry
# energy relative to the lowest polymorph listed for this composition: 4.261 kcal/mol of atoms
# space-group type: No. 123
# final energy: -3.70 eV/atom
data_ScHSeBr2
_chemical_formula_sum 'Sc1 H1 Se1 Br2'
_symmetry_space_group_name_H-M 'P 1'
_symmetry_Int_Tables_number 1
_cell_length_a 3.581
_cell_length_b 5.064
_cell_length_c 5.064
_cell_angle_alpha 90.00
_cell_angle_beta 90.00
_cell_angle_gamma 90.00
loop_
_symmetry_equiv_pos_as_xyz
'x,y,z'
loop_
_atom_site_label
_atom_site_type_symbol
_atom_site_fract_x
_atom_site_fract_y
_atom_site_fract_z
Sc1 Sc 0.500 0.500 0.500
H1 H 0.000 0.000 0.000
Se1 Se 0.500 0.000 0.000
Br1 Br 0.000 0.000 0.500
Br2 Br 0.000 0.500 0.000

***

[7]
# GGA-PBEsol ScH2WBr, optimized geometry
# space-group type: No. 123
# final energy: -4.38 eV/atom
data_ScH2WBr
_chemical_formula_sum 'Sc1 H2 W1 Br1'
_symmetry_space_group_name_H-M 'P 1'
_symmetry_Int_Tables_number 1
_cell_length_a 3.795
_cell_length_b 3.795
_cell_length_c 5.661
_cell_angle_alpha 90.00
_cell_angle_beta 90.00
_cell_angle_gamma 90.00
loop_
_symmetry_equiv_pos_as_xyz
'x,y,z'
loop_
_atom_site_label
_atom_site_type_symbol
_atom_site_fract_x
_atom_site_fract_y
_atom_site_fract_z
Sc1 Sc 0.000 0.000 0.500
H1 H 0.000 0.500 0.000
H2 H 0.500 0.000 0.000
Br1 Br 0.000 0.000 0.000
W1 W 0.500 0.500 0.500

***

[8]
# GGA-PBEsol H3SeBr, optimized geometry
# space-group type: No. 221
# final energy: -2.17 eV/atom
data_H3SeBr
_chemical_formula_sum 'H3 Se1 Br1'
_symmetry_space_group_name_H-M 'P 1'
_symmetry_Int_Tables_number 1
_cell_length_a 3.785
_cell_length_b 3.785
_cell_length_c 3.785
_cell_angle_alpha 90.00
_cell_angle_beta 90.00
_cell_angle_gamma 90.00
loop_
_symmetry_equiv_pos_as_xyz
'x,y,z'
loop_
_atom_site_label
_atom_site_type_symbol
_atom_site_fract_x
_atom_site_fract_y
_atom_site_fract_z
H1 H 0.000 0.500 0.000
H2 H 0.000 0.000 0.500
H3 H 0.500 0.000 0.000
Br1 Br 0.000 0.000 0.000
Se1 Se 0.500 0.500 0.500

***

[9]
# GGA-PBEsol SiHSeBr2, optimized geometry
# space-group type: No. 123
# final energy: -2.81 eV/atom
data_SiHSeBr2
_chemical_formula_sum 'Si1 H1 Se1 Br2'
_symmetry_space_group_name_H-M 'P 1'
_symmetry_Int_Tables_number 1
_cell_length_a 3.481
_cell_length_b 5.188
_cell_length_c 5.188
_cell_angle_alpha 90.00
_cell_angle_beta 90.00
_cell_angle_gamma 90.00
loop_
_symmetry_equiv_pos_as_xyz
'x,y,z'
loop_
_atom_site_label
_atom_site_type_symbol
_atom_site_fract_x
_atom_site_fract_y
_atom_site_fract_z
H1 H 0.000 0.000 0.000
Si1 Si 0.500 0.500 0.500
Se1 Se 0.500 0.000 0.000
Br1 Br 0.000 0.000 0.500
Br2 Br 0.000 0.500 0.000

***

[10]
# GGA-PBEsol TcHSeBr2, optimized geometry
# energy relative to the lowest polymorph listed for this composition: 0.000 kcal/mol of atoms
# space-group type: No. 123
# final energy: -3.87 eV/atom
data_TcHSeBr2
_chemical_formula_sum 'Tc1 H1 Se1 Br2'
_symmetry_space_group_name_H-M 'P 1'
_symmetry_Int_Tables_number 1
_cell_length_a 4.648
_cell_length_b 5.149
_cell_length_c 5.149
_cell_angle_alpha 90.00
_cell_angle_beta 90.00
_cell_angle_gamma 90.00
loop_
_symmetry_equiv_pos_as_xyz
'x,y,z'
loop_
_atom_site_label
_atom_site_type_symbol
_atom_site_fract_x
_atom_site_fract_y
_atom_site_fract_z
H1 H 0.500 0.500 0.500
Se1 Se 0.500 0.000 0.000
Tc1 Tc 0.000 0.000 0.000
Br1 Br 0.000 0.000 0.500
Br2 Br 0.000 0.500 0.000

***

[11]
# GGA-PBEsol TcHSeBr2, optimized geometry
# energy relative to the lowest polymorph listed for this composition: 8.264 kcal/mol of atoms
# space-group type: No. 123
# final energy: -3.51 eV/atom
data_TcHSeBr2
_chemical_formula_sum 'Tc1 H1 Se1 Br2'
_symmetry_space_group_name_H-M 'P 1'
_symmetry_Int_Tables_number 1
_cell_length_a 3.429
_cell_length_b 5.195
_cell_length_c 5.195
_cell_angle_alpha 90.00
_cell_angle_beta 90.00
_cell_angle_gamma 90.00
loop_
_symmetry_equiv_pos_as_xyz
'x,y,z'
loop_
_atom_site_label
_atom_site_type_symbol
_atom_site_fract_x
_atom_site_fract_y
_atom_site_fract_z
H1 H 0.000 0.000 0.000
Se1 Se 0.500 0.000 0.000
Tc1 Tc 0.500 0.500 0.500
Br1 Br 0.000 0.000 0.500
Br2 Br 0.000 0.500 0.000

***

[12]
# GGA-PBEsol TlHSeBr2, optimized geometry
# space-group type: No. 123
# final energy: -2.68 eV/atom
data_TlHSeBr2
_chemical_formula_sum 'Tl1 H1 Se1 Br2'
_symmetry_space_group_name_H-M 'P 1'
_symmetry_Int_Tables_number 1
_cell_length_a 3.554
_cell_length_b 5.546
_cell_length_c 5.546
_cell_angle_alpha 90.00
_cell_angle_beta 90.00
_cell_angle_gamma 90.00
loop_
_symmetry_equiv_pos_as_xyz
'x,y,z'
loop_
_atom_site_label
_atom_site_type_symbol
_atom_site_fract_x
_atom_site_fract_y
_atom_site_fract_z
H1 H 0.000 0.000 0.000
Tl1 Tl 0.500 0.500 0.500
Se1 Se 0.500 0.000 0.000
Br1 Br 0.000 0.000 0.500
Br2 Br 0.000 0.500 0.000

***

In order of appearance, M_tot = 0.00 0.00 0.00 0.00 0.15 0.25 2.31 0.84 0.00 2.64 3.94 0.47 μB per formula unit.
In order of appearance, DOS(E_F) = 0.40 0.44 0.00 0.83 0.74 0.58 0.73 0.56 0.88 0.62 0.71 0.87 states/eV per atom.
In order of appearance, volume = 88.3 71.8 157.5 90.4 140.7 91.8 81.5 54.2 93.7 123.2 92.5 109.3 Å³/cell.